# 1
InGaSO2: relaxed, GGA-PBE.

Summary:
The calculation puts the uncorrected formation energy at -1.262 eV per atom.

a b c (Å): 6.315 3.942 6.906
angles (deg): 90.00 116.05 90.00
Element x y z (fractional)
In: 0.246 0.250 0.046
In: 0.754 0.750 0.954
Ga: 0.307 0.750 0.453
Ga: 0.693 0.250 0.547
S: 0.288 0.750 0.780
S: 0.712 0.250 0.220
O: 0.142 0.750 0.145
O: 0.348 0.250 0.425
O: 0.652 0.750 0.575
O: 0.858 0.250 0.855

=====

# 2
InGa2SbO8: relaxed, GGA-PBE.

Summary:
As for the density of states at the Fermi level: 9.1 states/eV per cell. The calculation puts the uncorrected formation energy at -1.129 eV per atom.

a b c (Å): 5.772 5.772 5.772
angles (deg): 109.62 109.62 109.18
Element x y z (fractional)
In: 0.000 0.000 0.000
Ga: 0.250 0.750 0.500
Ga: 0.500 0.500 0.000
Sb: 0.750 0.250 0.500
O: 0.041 0.360 0.319
O: 0.041 0.722 0.681
O: 0.108 0.309 0.799
O: 0.278 0.959 0.319
O: 0.511 0.309 0.201
O: 0.640 0.959 0.681
O: 0.691 0.489 0.799
O: 0.691 0.892 0.201

=====

# 3
ScIn2GaO: relaxed, GGA-PBE.

Summary:
As for the density of states at the Fermi level: 2.3 states/eV per cell. The calculation puts the uncorrected formation energy at -0.514 eV per atom.

a b c (Å): 5.978 5.978 3.819
angles (deg): 90.00 90.00 90.00
Element x y z (fractional)
Sc: 0.000 0.000 0.000
In: 0.000 0.500 0.000
In: 0.500 0.000 0.000
Ga: 0.500 0.500 0.500
O: 0.000 0.000 0.500

=====

# 4
InGa2SiO6: relaxed, GGA-PBE.

Summary:
As for the density of states at the Fermi level: 4.6 states/eV per cell. The calculation puts the uncorrected formation energy at -1.857 eV per atom.

a b c (Å): 7.104 7.104 5.897
angles (deg): 105.55 105.55 100.63
Element x y z (fractional)
In: 0.104 0.896 0.750
In: 0.896 0.104 0.250
Ga: 0.289 0.450 0.844
Ga: 0.450 0.289 0.344
Ga: 0.550 0.711 0.656
Ga: 0.711 0.550 0.156
Si: 0.188 0.812 0.250
Si: 0.812 0.188 0.750
O: 0.035 0.216 0.699
O: 0.168 0.650 0.983
O: 0.216 0.035 0.199
O: 0.317 0.437 0.530
O: 0.350 0.832 0.517
O: 0.437 0.317 0.030
O: 0.563 0.683 0.970
O: 0.650 0.168 0.483
O: 0.683 0.563 0.470
O: 0.784 0.965 0.801
O: 0.832 0.350 0.017
O: 0.965 0.784 0.301

=====

# 5
InGaSiO2: relaxed, GGA-PBE.

Summary:
As for the density of states at the Fermi level: 4.8 states/eV per cell. The calculation puts the uncorrected formation energy at 0.075 eV per atom.

a b c (Å): 4.069 4.069 5.606
angles (deg): 90.00 90.00 90.00
Element x y z (fractional)
In: 0.000 0.000 0.000
Ga: 0.500 0.500 0.500
Si: 0.000 0.000 0.500
O: 0.000 0.500 0.000
O: 0.500 0.000 0.000

=====

# 6
InGaSnO5: relaxed, GGA-PBE.

Summary:
The calculation puts the uncorrected formation energy at -1.685 eV per atom.

a b c (Å): 11.055 3.259 12.019
angles (deg): 90.00 99.22 90.00
Element x y z (fractional)
In: 0.119 0.000 0.170
In: 0.197 0.500 0.424
In: 0.803 0.500 0.576
In: 0.881 0.000 0.830
Ga: 0.099 0.000 0.652
Ga: 0.415 0.500 0.236
Ga: 0.585 0.500 0.764
Ga: 0.901 0.000 0.348
Sn: 0.189 0.500 0.907
Sn: 0.500 0.000 0.000
Sn: 0.500 0.000 0.500
Sn: 0.811 0.500 0.093
O: 0.003 0.500 0.864
O: 0.073 0.000 0.350
O: 0.128 0.500 0.584
O: 0.191 0.000 0.015
O: 0.198 0.000 0.794
O: 0.246 0.500 0.243
O: 0.315 0.000 0.474
O: 0.384 0.500 0.952
O: 0.453 0.000 0.167
O: 0.497 0.500 0.385
O: 0.503 0.500 0.615
O: 0.547 0.000 0.833
O: 0.616 0.500 0.048
O: 0.685 0.000 0.526
O: 0.754 0.500 0.757
O: 0.802 0.000 0.206
O: 0.809 0.000 0.985
O: 0.872 0.500 0.416
O: 0.927 0.000 0.650
O: 0.997 0.500 0.136

=====

# 7
InGaSnO2: relaxed, GGA-PBE.

Summary:
As for the density of states at the Fermi level: 2.8 states/eV per cell. The calculation puts the uncorrected formation energy at -0.204 eV per atom.

a b c (Å): 4.165 4.165 5.546
angles (deg): 90.00 90.00 90.00
Element x y z (fractional)
In: 0.000 0.000 0.000
Ga: 0.000 0.000 0.500
Sn: 0.500 0.500 0.500
O: 0.000 0.500 0.000
O: 0.500 0.000 0.000

=====

# 8
SrInGaO4: relaxed, GGA-PBE.

Summary:
As for the density of states at the Fermi level: 0.0 states/eV per cell. The calculation puts the uncorrected formation energy at -1.957 eV per atom.

a b c (Å): 5.690 5.773 6.761
angles (deg): 90.00 107.89 90.00
Element x y z (fractional)
Sr: 0.228 0.250 0.444
Sr: 0.772 0.750 0.556
In: 0.315 0.250 0.961
In: 0.685 0.750 0.039
Ga: 0.225 0.750 0.164
Ga: 0.775 0.250 0.836
O: 0.009 0.250 0.090
O: 0.025 0.750 0.333
O: 0.474 0.517 0.207
O: 0.474 0.983 0.207
O: 0.526 0.017 0.793
O: 0.526 0.483 0.793
O: 0.975 0.250 0.667
O: 0.991 0.750 0.910

=====

# 9
Sr2InGa2O6: relaxed, GGA-PBE.

Summary:
As for the density of states at the Fermi level: 1.6 states/eV per cell. The calculation puts the uncorrected formation energy at -1.893 eV per atom.

a b c (Å): 6.778 6.778 6.778
angles (deg): 52.09 52.09 52.09
Element x y z (fractional)
Sr: 0.200 0.200 0.200
Sr: 0.800 0.800 0.800
In: 0.000 0.000 0.000
Ga: 0.428 0.428 0.428
Ga: 0.572 0.572 0.572
O: 0.228 0.758 0.758
O: 0.242 0.242 0.772
O: 0.242 0.772 0.242
O: 0.758 0.228 0.758
O: 0.758 0.758 0.228
O: 0.772 0.242 0.242

=====

# 10
Sr2InGaO5: relaxed, GGA-PBE.

Summary:
As for the density of states at the Fermi level: 0.0 states/eV per cell. The calculation puts the uncorrected formation energy at -2.221 eV per atom.

a b c (Å): 7.376 7.376 10.675
angles (deg): 90.00 90.00 153.90
Element x y z (fractional)
Sr: 0.119 0.881 0.500
Sr: 0.131 0.869 0.070
Sr: 0.869 0.131 0.570
Sr: 0.881 0.119 0.000
In: 0.220 0.780 0.794
In: 0.780 0.220 0.294
Ga: 0.495 0.505 0.262
Ga: 0.505 0.495 0.762
O: 0.056 0.944 0.823
O: 0.286 0.714 0.430
O: 0.292 0.708 0.160
O: 0.378 0.622 0.809
O: 0.500 0.500 0.088
O: 0.500 0.500 0.588
O: 0.622 0.378 0.309
O: 0.708 0.292 0.660
O: 0.714 0.286 0.930
O: 0.944 0.056 0.323

=====

# 11
Sr2InGaO: relaxed, GGA-PBE.

Summary:
As for the density of states at the Fermi level: 2.6 states/eV per cell. The calculation puts the uncorrected formation energy at -1.044 eV per atom.

a b c (Å): 5.065 5.065 4.895
angles (deg): 90.00 90.00 90.00
Element x y z (fractional)
Sr: 0.000 0.500 0.000
Sr: 0.500 0.000 0.000
In: 0.000 0.000 0.500
Ga: 0.500 0.500 0.500
O: 0.500 0.500 0.000

=====

# 12
Sr3InGa2O8: relaxed, GGA-PBE.

Summary:
As for the density of states at the Fermi level: 10.7 states/eV per cell. The calculation puts the uncorrected formation energy at -2.069 eV per atom.

a b c (Å): 5.792 5.792 7.261
angles (deg): 90.00 90.00 120.00
Element x y z (fractional)
Sr: 0.000 0.000 0.000
Sr: 0.333 0.667 0.640
Sr: 0.667 0.333 0.360
In: 0.000 0.000 0.500
Ga: 0.333 0.667 0.203
Ga: 0.667 0.333 0.797
O: 0.167 0.333 0.315
O: 0.167 0.833 0.315
O: 0.333 0.167 0.685
O: 0.333 0.667 0.957
O: 0.667 0.333 0.043
O: 0.667 0.833 0.315
O: 0.833 0.167 0.685
O: 0.833 0.667 0.685